Record 1
The following is a GGA-PBE calculation of a relaxed Sr2TbGa crystal, from Alexandria via LeMat-Bulk.

a = 12.221 Å, b = 12.221 Å, c = 12.221 Å
α = 17.91°, β = 17.91°, γ = 17.91°
Atoms (fractional coordinates):
Sr  0.100  0.100  0.100
Sr  0.900  0.900  0.900
Tb  0.000  0.000  0.000
Ga  0.500  0.500  0.500

Summary:
**Magnetic moment**: 0.58 μB per formula unit
**Energy relative to the elements**: 0.7 eV per formula unit
**Raw total energy**: -2.5850 eV/atom



Record 2
The following is a GGA-PBE calculation of a relaxed NiAs2Rh crystal, from Alexandria via LeMat-Bulk.

a = 4.141 Å, b = 4.141 Å, c = 5.201 Å
α = 102.00°, β = 102.00°, γ = 42.84°
Atoms (fractional coordinates):
Ni  0.000  0.000  0.000
As  0.251  0.251  0.760
As  0.749  0.749  0.240
Rh  0.500  0.500  0.500

Summary:
**Magnetic moment**: 0.00 μB per formula unit
**Energy relative to the elements**: -0.5 eV per formula unit
**Raw total energy**: -5.7244 eV/atom



Record 3
The following is a GGA-PBE calculation of a relaxed LaGa3Pt3 crystal, from Alexandria via LeMat-Bulk.

a = 6.855 Å, b = 6.855 Å, c = 6.855 Å
α = 90.00°, β = 90.00°, γ = 90.00°
Atoms (fractional coordinates):
La  0.000  0.000  0.000
La  0.500  0.500  0.500
Ga  0.000  0.250  0.500
Ga  0.000  0.750  0.500
Ga  0.250  0.500  0.000
Ga  0.500  0.000  0.250
Ga  0.500  0.000  0.750
Ga  0.750  0.500  0.000
Pt  0.000  0.500  0.250
Pt  0.000  0.500  0.750
Pt  0.250  0.000  0.500
Pt  0.500  0.250  0.000
Pt  0.500  0.750  0.000
Pt  0.750  0.000  0.500

Summary:
**Magnetic moment**: 0.14 μB per formula unit
**Energy relative to the elements**: -3.8 eV per formula unit
**Polymorph energy (0 for the lowest one)**: 0.226 eV/atom
**Raw total energy**: -5.1350 eV/atom



Record 4
The following is a GGA-PBE calculation of a relaxed Tl3CrW crystal, from Alexandria via LeMat-Bulk.

a = 5.353 Å, b = 5.353 Å, c = 5.353 Å
α = 90.00°, β = 90.00°, γ = 90.00°
Atoms (fractional coordinates):
Tl  0.000  0.000  0.500
Tl  0.000  0.500  0.000
Tl  0.500  0.000  0.000
Cr  0.500  0.500  0.500
W  0.000  0.000  0.000

Summary:
**Magnetic moment**: 0.54 μB per formula unit
**Energy relative to the elements**: 8.7 eV per formula unit
**Raw total energy**: -4.1852 eV/atom



Record 5
The following is a GGA-PBE calculation of a relaxed Er2Hg3Pd4 crystal, from Alexandria via LeMat-Bulk.

a = 4.708 Å, b = 4.708 Å, c = 8.948 Å
α = 95.49°, β = 95.49°, γ = 63.51°
Atoms (fractional coordinates):
Er  0.161  0.161  0.282
Er  0.839  0.839  0.718
Hg  0.182  0.182  0.923
Hg  0.500  0.500  0.500
Hg  0.818  0.818  0.077
Pd  0.169  0.169  0.603
Pd  0.488  0.488  0.169
Pd  0.512  0.512  0.831
Pd  0.831  0.831  0.397

Summary:
**Magnetic moment**: 0.00 μB per formula unit
**Energy relative to the elements**: -5.4 eV per formula unit
**Polymorph energy (0 for the lowest one)**: 0.010 eV/atom
**Raw total energy**: -4.0197 eV/atom



Record 6
The following is a GGA-PBE calculation of a relaxed H2RuCl crystal, from Alexandria via LeMat-Bulk.

a = 3.763 Å, b = 3.763 Å, c = 3.763 Å
α = 60.00°, β = 60.00°, γ = 60.00°
Atoms (fractional coordinates):
H  0.250  0.250  0.250
H  0.750  0.750  0.750
Ru  0.000  0.000  0.000
Cl  0.500  0.500  0.500

Summary:
**Magnetic moment**: 0.00 μB per formula unit
**Polymorph energy (0 for the lowest one)**: 0.729 eV/atom
**Raw total energy**: -3.3376 eV/atom